No. 1
## Hf2In2Ag (PBE-GGA)

Data for Hf2In2Ag after structural relaxation.

The total magnetization comes out at 0.08 μB/atom.

It has space group I4/mmm (No. 139), with a = 4.035 Å, b = 4.035 Å, c = 14.344 Å, α = 90.00°, β = 90.00° and γ = 90.00°. The distinct sites, in fractional coordinates, are Hf at (0.000, 0.000, 0.093), In at (0.000, 0.500, 0.250) and Ag at (0.000, 0.000, 0.500).

***

No. 2
## Cu10Sb3 (PBE-GGA)

Data for Cu10Sb3 after structural relaxation.

It has space group P6_3/m (No. 176), with a = 10.0122 Å, b = 10.0122 Å, c = 4.3137 Å, α = 90.00°, β = 90.00° and γ = 120.00°. The distinct sites, in fractional coordinates, are Cu at (0.0230, 0.4406, 0.2500), Cu at (0.0510, 0.8838, 0.7500), Cu at (0.2091, 0.5033, 0.7500), Cu at (0.3333, 0.6667, 0.2500) and Sb at (0.1061, 0.7441, 0.2500).

***

No. 3
## K2WSe4 (PBE-GGA)

Data for K2WSe4 after structural relaxation.

The total magnetization comes out at 0.00 μB/atom.

It has space group Pnma (No. 62), with a = 9.918 Å, b = 7.269 Å, c = 12.842 Å, α = 90.00°, β = 90.00° and γ = 90.00°. The distinct sites, in fractional coordinates, are K at (0.047, 0.250, 0.157), K at (0.157, 0.750, 0.385), W at (0.248, 0.750, 0.068), Se at (0.017, 0.750, 0.110), Se at (0.148, 0.508, 0.640) and Se at (0.218, 0.250, 0.387).

***

No. 4
## PrAlPd (PBE-GGA)

Data for PrAlPd after structural relaxation.

The total magnetization comes out at 0.00 μB/atom.

It has space group P-62m (No. 189), with a = 8.4259 Å, b = 8.4259 Å, c = 3.1611 Å, α = 90.00°, β = 90.00° and γ = 120.00°. The distinct sites, in fractional coordinates, are Pr at (0.0000, 0.2987, 0.0000), Al at (0.0000, 0.0000, 0.5000), Al at (0.3333, 0.6667, 0.0000) and Pd at (0.0000, 0.6230, 0.5000).

***

Looking at E_tot for the records above, in order, we have -5.164; -3.750; -4.979; -4.826 eV per atom.